1.
A geometry-optimized K2YMnTe4 structure, computed with PBE-GGA.

The electronic total energy comes out at -4.6693 eV/atom. The crystal system is monoclinic.

The space group is C2/c (No. 15) and the conventional cell measures 12.805, 12.776 and 9.178 Å, with angles of 90.00, 134.09 and 90.00 degrees. The distinct sites, in fractional coordinates, are K at (0.000, 0.000, 0.000), K at (0.250, 0.250, 0.000), Y at (0.250, 0.250, 0.500), Mn at (0.000, 0.500, 0.000), Te at (0.003, 0.278, 0.025) and Te at (0.209, 0.489, 0.479).

2.
A geometry-optimized BaAlAu structure, computed with PBE-GGA.

As for the formation enthalpy at 0 K: -8 meV per atom. The crystal system is cubic.

The space group is F-43m (No. 216) and the conventional cell measures 7.190, 7.190 and 7.190 Å, with angles of 90.00, 90.00 and 90.00 degrees. The distinct sites, in fractional coordinates, are Ba at (0.000, 0.000, 0.000), Al at (0.250, 0.250, 0.250) and Au at (0.000, 0.000, 0.500).

3.
A geometry-optimized La3Pu4N9 structure, computed with PBE-GGA.

The electronic total energy comes out at -10.2792 eV/atom. The crystal system is trigonal.

The space group is R3 (No. 146, hexagonal axes) and the conventional cell measures 6.0030, 6.0030 and 24.9229 Å, with angles of 90.00, 90.00 and 120.00 degrees. The distinct sites, in fractional coordinates, are La at (0.0000, 0.0000, 0.0000), La at (0.0000, 0.0000, 0.1698), La at (0.0000, 0.0000, 0.5762), Pu at (0.0000, 0.0000, 0.3042), Pu at (0.0000, 0.0000, 0.4308), Pu at (0.0000, 0.0000, 0.7387), Pu at (0.0000, 0.0000, 0.8669), N at (0.0010, 0.4177, 0.5845), N at (0.0197, 0.6067, 0.0260) and N at (0.0835, 0.7433, 0.4839).

4.
A geometry-optimized AcGaSnPt3 structure, computed with PBE-GGA.

As for the formation enthalpy at 0 K: -721 meV per atom. The crystal system is orthorhombic.

The space group is Cmcm (No. 63) and the conventional cell measures 5.847, 16.703 and 5.911 Å, with angles of 90.00, 90.00 and 90.00 degrees. The distinct sites, in fractional coordinates, are Ac at (0.000, 0.203, 0.250), Ga at (0.000, 0.407, 0.750), Sn at (0.000, 0.097, 0.750), Pt at (0.000, 0.257, 0.750) and Pt at (0.241, 0.500, 0.000).

5.
A geometry-optimized La2Pm4SmY2 structure, computed with PBE-GGA.

As for the formation enthalpy at 0 K: 2 meV per atom. The crystal system is monoclinic.

The space group is C2/m (No. 12) and the conventional cell measures 19.116, 3.688 and 9.781 Å, with angles of 90.00, 115.75 and 90.00 degrees. The distinct sites, in fractional coordinates, are La at (0.166, 0.000, 0.000), Pm at (0.019, 0.000, 0.336), Pm at (0.186, 0.500, 0.335), Sm at (0.000, 0.500, 0.000) and Y at (0.147, 0.500, 0.665).

6.
A geometry-optimized Ce2Sm7Dy2 structure, computed with PBE-GGA.

As for the formation enthalpy at 0 K: 198 meV per atom. The crystal system is monoclinic.

The space group is C2/m (No. 12) and the conventional cell measures 11.182, 11.696 and 6.053 Å, with angles of 90.00, 112.11 and 90.00 degrees. The distinct sites, in fractional coordinates, are Ce at (0.000, 0.217, 0.000), Sm at (0.000, 0.000, 0.500), Sm at (0.089, 0.500, 0.304), Sm at (0.173, 0.241, 0.678) and Dy at (0.226, 0.000, 0.083).

7.
A geometry-optimized Nd12Dy7Tm structure, computed with PBE-GGA.

As for the formation enthalpy at 0 K: 226 meV per atom. The crystal system is trigonal.

The space group is R-3m (No. 166, hexagonal axes) and the conventional cell measures 19.6590, 19.6590 and 6.2398 Å, with angles of 90.00, 90.00 and 120.00 degrees. The distinct sites, in fractional coordinates, are Nd at (0.0000, 0.4123, 0.0000), Nd at (0.0979, 0.5489, 0.4640), Dy at (0.0000, 0.0000, 0.0000), Dy at (0.0814, 0.1628, 0.2940) and Tm at (0.0000, 0.0000, 0.5000).

8.
A geometry-optimized TbMgCoRh structure, computed with PBE-GGA.

As for the formation enthalpy at 0 K: -314 meV per atom. The crystal system is cubic.

The space group is F-43m (No. 216) and the conventional cell measures 6.494, 6.494 and 6.494 Å, with angles of 90.00, 90.00 and 90.00 degrees. The distinct sites, in fractional coordinates, are Tb at (0.000, 0.000, 0.000), Mg at (0.000, 0.000, 0.500), Co at (0.250, 0.250, 0.750) and Rh at (0.250, 0.250, 0.250).

- What is the formula in the eighth record?
  TbMgCoRh